An optimized crystal structure of BeZnCdPd. Source: Alexandria via LeMat-Bulk, functional GGA-PBE.

a = 4.080 Å, b = 3.510 Å, c = 4.081 Å
α = 90.00°, β = 90.00°, γ = 90.00°
Element x y z (fractional)
Be: 0.500 0.500 0.500
Zn: 0.000 0.500 0.000
Pd: 0.000 0.000 0.500
Cd: 0.500 0.000 0.000

Properties
* formation energy from the elements: -98 meV/atom
* size of the total moment: 0.0000 μB per atom
* uncorrected energy: -2.875 eV/atom
* polymorph energy (0 for the lowest one): 0.114 eV per atom

An optimized crystal structure of BeZnCdPd. Source: Alexandria via LeMat-Bulk, functional GGA-PBE.

a = 3.595 Å, b = 2.889 Å, c = 6.169 Å
α = 90.00°, β = 90.00°, γ = 90.00°
Element x y z (fractional)
Be: 0.356 0.500 0.723
Zn: 0.356 0.000 0.366
Pd: 0.856 0.000 0.681
Cd: 0.856 0.500 0.085

Properties
* formation energy from the elements: -115 meV/atom
* size of the total moment: 0.0000 μB per atom
* uncorrected energy: -2.892 eV/atom
* polymorph energy (0 for the lowest one): 0.096 eV per atom